# 1
Compound: HfMn2CoPt
Source: Alexandria
Functional: GGA-PBE
Structure: relaxed

Results
* DFT formation energy: 508 meV/atom
* space group: P4/mmm (123)
* magnetization: 7.5 μB/f.u.
* ρ: 10.42 g cm⁻³

Cell lengths 4.297, 4.297, 4.679 Å; angles 90.00, 90.00, 90.00 degrees
Atoms (fractional coordinates):
Hf 0.000 0.000 0.000
Mn 0.000 0.500 0.500
Mn 0.500 0.000 0.500
Co 0.500 0.500 0.500
Pt 0.500 0.500 0.000

---

# 2
Compound: HfMnCoRh
Source: Alexandria
Functional: GGA-PBE
Structure: relaxed

Results
* DFT formation energy: -423 meV/atom
* space group: F-43m (216)
* magnetization: 5.0 μB/f.u.
* ρ: 10.99 g cm⁻³

Cell lengths 4.388, 4.388, 4.388 Å; angles 60.00, 60.00, 60.00 degrees
Atoms (fractional coordinates):
Hf 0.000 0.000 0.000
Mn 0.500 0.500 0.500
Co 0.750 0.750 0.750
Rh 0.250 0.250 0.250

---

# 3
Compound: HfMnCoRu
Source: Alexandria
Functional: GGA-PBE
Structure: relaxed

Results
* DFT formation energy: -261 meV/atom
* space group: F-43m (216)
* magnetization: 4.4 μB/f.u.
* ρ: 11.14 g cm⁻³

Cell lengths 4.361, 4.361, 4.361 Å; angles 60.00, 60.00, 60.00 degrees
Atoms (fractional coordinates):
Hf 0.000 0.000 0.000
Mn 0.500 0.500 0.500
Co 0.750 0.750 0.750
Ru 0.250 0.250 0.250

---

# 4
Compound: HfMnCo2Tc
Source: Alexandria
Functional: GGA-PBE
Structure: relaxed

Results
* DFT formation energy: 961 meV/atom
* space group: P4/mmm (123)
* magnetization: 1.2 μB/f.u.
* ρ: 8.90 g cm⁻³

Cell lengths 4.390, 4.390, 4.348 Å; angles 90.00, 90.00, 90.00 degrees
Atoms (fractional coordinates):
Hf 0.000 0.000 0.000
Mn 0.500 0.500 0.000
Co 0.000 0.500 0.500
Co 0.500 0.000 0.500
Tc 0.500 0.500 0.500

---

# 5
Compound: HfMnCoTe2
Source: Alexandria
Functional: GGA-PBE
Structure: relaxed

Results
* space group: P4/mmm (123)
* magnetization: 0.0 μB/f.u.
* ρ: 6.74 g cm⁻³
* raw total energy: -5.142 eV per atom

Cell lengths 5.450, 5.450, 4.538 Å; angles 90.00, 90.00, 90.00 degrees
Atoms (fractional coordinates):
Hf 0.000 0.000 0.000
Mn 0.500 0.500 0.500
Co 0.000 0.000 0.500
Te 0.000 0.500 0.000
Te 0.500 0.000 0.000

---

# 6
Compound: HfMnZnCo
Source: Alexandria
Functional: GGA-PBE
Structure: relaxed

Results
* DFT formation energy: -97 meV/atom
* space group: F-43m (216)
* magnetization: 4.6 μB/f.u.
* ρ: 9.94 g cm⁻³

Cell lengths 4.388, 4.388, 4.388 Å; angles 60.00, 60.00, 60.00 degrees
Atoms (fractional coordinates):
Hf 0.000 0.000 0.000
Mn 0.500 0.500 0.500
Zn 0.750 0.750 0.750
Co 0.250 0.250 0.250

---

> What is the formula in the third record?

HfMnCoRu